Na3TaAs at its PBEsol-relaxed geometry, computed with meta-GGA SCAN.

Calculated values
DOS(E_F) ... 7.32 states/eV per cell
Crystal system ... cubic
E_tot ... -93.8 eV per cell
Energy of formation from the pure elements ... 1.12 eV/atom

Cell: 5.3704 5.3704 5.3704 Å, 90.00 90.00 90.00°
Last column: nearest neighbours and their distance in Å.
Space group Pm-3m (No. 221)
One atom of each set of equivalent atoms:
1 Na 0.0000 0.0000 0.5000 [3 per cell]  2 As 2.69
2 Ta 0.5000 0.5000 0.5000 [1 per cell]  12 Na 3.80
3 As 0.0000 0.0000 0.0000 [1 per cell]  6 Na 2.69

=====

FeB2W2 at its PBEsol-relaxed geometry, computed with meta-GGA SCAN.

Calculated values
DOS(E_F) ... 4.16 states/eV per cell
Crystal system ... orthorhombic
E_tot ... -348.1 eV per cell
Energy of formation from the pure elements ... -0.33 eV/atom

Cell: 3.1442 4.5456 7.0781 Å, 90.00 90.00 90.00°
Last column: nearest neighbours and their distance in Å.
Space group Immm (No. 71)
One atom of each set of equivalent atoms:
1 Fe 0.0000 0.0000 0.0000 [2 per cell]  4 B 2.06
2 B 0.0000 0.2068 0.5000 [4 per cell]  1 B 1.88, 2 Fe 2.06
3 W 0.0000 0.5000 0.2032 [4 per cell]  6 B 2.33-2.49

=====

TcHPd2F at its PBEsol-relaxed geometry, computed with meta-GGA SCAN.

Calculated values
DOS(E_F) ... 2.48 states/eV per cell
Crystal system ... tetragonal
E_tot ... -107.1 eV per cell

Cell: 3.6897 3.6897 4.3767 Å, 90.00 90.00 90.00°
Last column: nearest neighbours and their distance in Å.
Space group P4/mmm (No. 123)
One atom of each set of equivalent atoms:
1 Tc 0.0000 0.0000 0.0000 [1 per cell]  4 F 2.61, 8 Pd 2.86
2 H 0.5000 0.5000 0.5000 [1 per cell]  4 Pd 1.84
3 Pd 0.0000 0.5000 0.5000 [2 per cell]  2 H 1.84
4 F 0.5000 0.5000 0.0000 [1 per cell]  2 H 2.19

=====

LaPr3 at its PBEsol-relaxed geometry, computed with meta-GGA SCAN.

Calculated values
DOS(E_F) ... 6.17 states/eV per cell
Crystal system ... cubic
E_tot ... -173.0 eV per cell
Energy of formation from the pure elements ... 0.01 eV/atom

Cell: 5.1397 5.1397 5.1397 Å, 90.00 90.00 90.00°
Last column: nearest neighbours and their distance in Å.
Space group Pm-3m (No. 221)
One atom of each set of equivalent atoms:
1 La 0.0000 0.0000 0.0000 [1 per cell]  12 Pr 3.63
2 Pr 0.0000 0.5000 0.5000 [3 per cell]  8 Pr 3.63, 4 La 3.63

=====

K2MgTc at its PBEsol-relaxed geometry, computed with meta-GGA SCAN.

Calculated values
DOS(E_F) ... 1.85 states/eV per cell
Crystal system ... tetragonal
E_tot ... -53.7 eV per cell
Energy of formation from the pure elements ... 0.76 eV/atom

Cell: 3.4894 3.4894 10.6229 Å, 90.00 90.00 90.00°
Last column: nearest neighbours and their distance in Å.
Space group P4mm (No. 99)
One atom of each set of equivalent atoms:
1 K 0.0000 0.0000 0.0000 [1 per cell]  4 K 3.49, 4 Tc 3.49, 1 Mg 3.61
2 K 0.5000 0.5000 0.3981 [1 per cell]  4 K 3.49, 4 Mg 3.72
3 Mg 0.0000 0.0000 0.6599 [1 per cell]  4 Tc 2.72
4 Tc 0.5000 0.5000 0.7671 [1 per cell]  4 Mg 2.72

=====

ScBeTl at its PBEsol-relaxed geometry, computed with meta-GGA SCAN.

Calculated values
DOS(E_F) ... 9.06 states/eV per cell
Crystal system ... cubic
E_tot ... -358.3 eV per cell
Polymorph energy (0 for the lowest one) ... 453 meV/atom
Energy of formation from the pure elements ... 0.45 eV/atom

Cell: 6.3995 6.3995 6.3995 Å, 90.00 90.00 90.00°
Last column: nearest neighbours and their distance in Å.
Space group F-43m (No. 216)
One atom of each set of equivalent atoms:
1 Sc 0.0000 0.0000 0.0000 [4 per cell]  4 Tl 2.77, 4 Be 2.77
2 Be 0.2500 0.2500 0.7500 [4 per cell]  4 Sc 2.77
3 Tl 0.2500 0.2500 0.2500 [4 per cell]  4 Sc 2.77